First-principles (PBEsol) data for a relaxed structure of CaZr2Ru, as listed in Alexandria via LeMat-Bulk.

```
CaZr2Ru
1.0
3.132 0.000 0.000
0.000 3.132 0.000
0.000 0.000 9.299
Ru Zr Ca
1 2 1
direct
0.500 0.500 0.500
0.000 0.000 0.678
0.000 0.000 0.322
0.500 0.500 0.000
```

Values from the calculation:
Magnetization (μB/cell): 0.0
DOS(E_F) (states/eV/cell): 5.35
Final energy (eV per formula unit): -30.60
SG: P4/mmm, No. 123